# La2ScCuPd6

A geometry-optimized La2ScCuPd6 structure (PBE-GGA, Alexandria).

The structure in POSCAR format:
```
La2ScCuPd6
1.0
4.944 -2.855 0.000
4.944 2.855 0.000
-3.304 0.000 8.088
La Sc Cu Pd
2 1 1 6
Cartesian
1.650 0.000 1.081 La
4.933 0.000 7.007 La
-1.652 0.000 4.044 Sc
4.944 0.000 0.000 Cu
4.119 1.435 1.922 Pd
-0.019 0.000 6.169 Pd
2.464 1.435 6.165 Pd
4.119 -1.435 1.922 Pd
6.602 0.000 1.919 Pd
2.464 -1.435 6.165 Pd
```

Properties
Calculated density (g/cm3): 7.5
Magnetization (μB per cell): 0.00
Electronic total energy (eV/atom): -5.68

---

# LaCuSi2Pd

A geometry-optimized LaCuSi2Pd structure (PBE-GGA, Alexandria).

The structure in POSCAR format:
```
LaCuSi2Pd
1.0
-2.113 2.113 5.015
2.113 -2.113 5.015
2.113 2.113 -5.015
La Cu Si Pd
1 1 2 1
Cartesian
0.000 0.000 0.000 La
2.113 0.000 2.507 Cu
0.000 0.000 3.807 Si
0.000 0.000 6.222 Si
0.000 2.113 2.507 Pd
```

Properties
Calculated density (g/cm3): 6.8
Magnetization (μB per cell): 0.00
ΔE_f (raw) (eV per atom): -0.764